(1)
This record from the Alexandria database describes an optimized crystal structure of LaTeF3. The functional is PBE.

The structure in POSCAR format:
```
LaTeF3
1.0
4.785 0.000 0.000
0.000 4.785 0.000
0.000 0.000 4.785
La Te F
1 1 3
direct
0.000 0.000 0.000 La
0.500 0.500 0.500 Te
0.000 0.500 0.500 F
0.500 0.000 0.500 F
0.500 0.500 0.000 F
```

Calculated values
Energy relative to the elements, uncorrected: -1.42 eV per atom
Energy relative to the lowest polymorph listed for this composition: 1348 meV per atom

---

(2)
This record from the Alexandria database describes an optimized crystal structure of Pu2MgAl3Zn4. The functional is PBE.

The structure in POSCAR format:
```
Pu2MgAl3Zn4
1.0
4.244 0.000 0.000
0.000 4.244 0.000
0.000 0.000 10.926
Pu Mg Al Zn
2 1 3 4
direct
0.000 0.500 0.237 Pu
0.500 0.000 0.763 Pu
0.000 0.000 0.500 Mg
0.000 0.500 0.868 Al
0.500 0.000 0.132 Al
0.500 0.500 0.500 Al
0.000 0.000 0.000 Zn
0.000 0.500 0.644 Zn
0.500 0.000 0.356 Zn
0.500 0.500 0.000 Zn
```

Calculated values
E_form: -135 meV per atom

---

(3)
This record from the Alexandria database describes an optimized crystal structure of HfMg2TiW. The functional is PBE.

The structure in POSCAR format:
```
HfMg2TiW
1.0
4.937 0.000 0.000
0.000 4.937 0.000
0.000 0.000 4.495
Hf Mg Ti W
1 2 1 1
direct
0.000 0.000 0.000 Hf
0.000 0.500 0.500 Mg
0.500 0.000 0.500 Mg
0.500 0.500 0.500 Ti
0.500 0.500 0.000 W
```

Calculated values
E_form: 1189 meV per atom

---

(4)
This record from the Alexandria database describes an optimized crystal structure of HfS2ClO8. The functional is PBE.

The structure in POSCAR format:
```
HfS2ClO8
1.0
4.604 -2.675 0.000
4.604 2.675 0.000
-0.948 0.000 8.584
Hf S Cl O
1 2 1 8
direct
0.000 0.000 0.000 Hf
0.317 0.317 0.798 S
0.683 0.683 0.202 S
0.000 0.000 0.500 Cl
0.180 0.629 0.857 O
0.183 0.183 0.884 O
0.283 0.283 0.633 O
0.371 0.820 0.143 O
0.629 0.180 0.857 O
0.717 0.717 0.367 O
0.817 0.817 0.116 O
0.820 0.371 0.143 O
```

Calculated values
Energy relative to the elements, uncorrected: -1.64 eV per atom

---

(5)
This record from the Alexandria database describes an optimized crystal structure of Er3HgC. The functional is PBE.

The structure in POSCAR format:
```
Er3HgC
1.0
4.848 0.000 0.000
0.000 4.848 0.000
0.000 0.000 4.848
Er Hg C
3 1 1
direct
0.000 0.000 0.500 Er
0.000 0.500 0.000 Er
0.500 0.000 0.000 Er
0.500 0.500 0.500 Hg
0.000 0.000 0.000 C
```

Calculated values
E_form: -404 meV per atom

---

(6)
This record from the Alexandria database describes an optimized crystal structure of Si2Os2Pt. The functional is PBE.

The structure in POSCAR format:
```
Si2Os2Pt
1.0
-1.779 1.779 5.885
1.779 -1.779 5.885
1.779 1.779 -5.885
Si Os Pt
2 2 1
direct
0.250 0.750 0.500 Si
0.750 0.250 0.500 Si
0.110 0.110 0.000 Os
0.890 0.890 0.000 Os
0.500 0.500 0.000 Pt
```

Calculated values
Energy relative to the elements, uncorrected: -0.06 eV per atom
Energy relative to the lowest polymorph listed for this composition: 99 meV per atom

---

(7)
This record from the Alexandria database describes an optimized crystal structure of Pm5Pr5Sn6. The functional is PBE.

The structure in POSCAR format:
```
Pm5Pr5Sn6
1.0
6.849 0.000 0.000
0.000 8.075 4.652
0.000 -8.075 4.652
Pm Pr Sn
5 5 6
direct
0.000 0.000 0.000 Pm
0.000 0.517 0.760 Pm
0.000 0.760 0.517 Pm
0.500 0.001 0.759 Pm
0.500 0.759 0.001 Pm
0.250 0.093 0.426 Pr
0.250 0.426 0.093 Pr
0.500 0.519 0.519 Pr
0.750 0.093 0.426 Pr
0.750 0.426 0.093 Pr
0.000 0.151 0.760 Sn
0.000 0.368 0.368 Sn
0.000 0.760 0.151 Sn
0.500 0.150 0.150 Sn
0.500 0.366 0.761 Sn
0.500 0.761 0.366 Sn
```

Calculated values
E_form: -684 meV per atom

---

(8)
This record from the Alexandria database describes an optimized crystal structure of YSb. The functional is PBE.

The structure in POSCAR format:
```
YSb
1.0
5.237 0.000 0.000
-2.618 4.535 0.000
0.000 0.000 9.831
Y Sb
4 4
direct
0.000 0.000 0.250 Y
0.000 0.000 0.750 Y
0.333 0.667 0.250 Y
0.667 0.333 0.750 Y
0.333 0.667 0.592 Sb
0.333 0.667 0.908 Sb
0.667 0.333 0.092 Sb
0.667 0.333 0.408 Sb
```

Calculated values
Energy relative to the elements, uncorrected: -0.18 eV per atom

---

(9)
This record from the Alexandria database describes an optimized crystal structure of Tb7Er2Sc2. The functional is PBE.

The structure in POSCAR format:
```
Tb7Er2Sc2
1.0
-1.771 8.450 5.723
1.771 -8.450 5.723
1.771 8.450 -5.723
Tb Er Sc
7 2 2
direct
0.000 0.000 0.000 Tb
0.188 0.519 0.669 Tb
0.324 0.988 0.336 Tb
0.553 0.753 0.801 Tb
0.652 0.988 0.664 Tb
0.850 0.519 0.331 Tb
0.952 0.753 0.199 Tb
0.481 0.481 0.000 Er
0.736 0.236 0.500 Er
0.133 0.249 0.884 Sc
0.365 0.249 0.116 Sc
```

Calculated values
Energy relative to the lowest polymorph listed for this composition: 0 meV per atom
E_form: 144 meV per atom

---

(10)
This record from the Alexandria database describes an optimized crystal structure of PmPr4SmSe8. The functional is PBE.

The structure in POSCAR format:
```
PmPr4SmSe8
1.0
4.368 2.522 7.106
-4.368 2.522 7.106
0.000 -5.044 7.106
Pm Pr Sm Se
1 4 1 8
direct
0.000 0.000 0.000 Pm
0.000 0.000 0.497 Pr
0.000 0.497 0.000 Pr
0.497 0.000 0.000 Pr
0.623 0.623 0.623 Pr
0.375 0.375 0.375 Sm
0.224 0.760 0.760 Se
0.241 0.241 0.767 Se
0.241 0.767 0.241 Se
0.244 0.244 0.244 Se
0.757 0.757 0.757 Se
0.760 0.224 0.760 Se
0.760 0.760 0.224 Se
0.767 0.241 0.241 Se
```

Calculated values
Energy relative to the elements, uncorrected: -1.73 eV per atom

---

(11)
This record from the Alexandria database describes an optimized crystal structure of Ho2PaRu3. The functional is PBE.

The structure in POSCAR format:
```
Ho2PaRu3
1.0
-1.683 2.772 6.797
1.683 -2.772 6.797
1.683 2.772 -6.797
Ho Pa Ru
2 1 3
direct
0.167 0.167 0.000 Ho
0.833 0.833 0.000 Ho
0.500 0.500 0.000 Pa
0.000 0.500 0.500 Ru
0.349 0.849 0.500 Ru
0.651 0.151 0.500 Ru
```

Calculated values
Energy relative to the lowest polymorph listed for this composition: 325 meV per atom
E_form: -172 meV per atom

---

(12)
This record from the Alexandria database describes an optimized crystal structure of ScCl3O. The functional is PBE.

The structure in POSCAR format:
```
ScCl3O
1.0
4.515 0.000 0.000
0.000 4.515 0.000
0.000 0.000 4.515
Sc Cl O
1 3 1
direct
0.000 0.000 0.000 Sc
0.000 0.500 0.500 Cl
0.500 0.000 0.500 Cl
0.500 0.500 0.000 Cl
0.500 0.500 0.500 O
```

Calculated values
Energy relative to the elements, uncorrected: -0.10 eV per atom
Energy relative to the lowest polymorph listed for this composition: 842 meV per atom

---

(13)
This record from the Alexandria database describes an optimized crystal structure of Na2MgRhBr. The functional is PBE.

The structure in POSCAR format:
```
Na2MgRhBr
1.0
5.856 0.000 0.000
0.000 5.856 0.000
0.000 0.000 4.676
Na Mg Rh Br
2 1 1 1
direct
0.000 0.500 0.000 Na
0.500 0.000 0.000 Na
0.000 0.000 0.000 Mg
0.000 0.000 0.500 Rh
0.500 0.500 0.500 Br
```

Calculated values
Energy relative to the elements, uncorrected: 0.23 eV per atom

---

(14)
This record from the Alexandria database describes an optimized crystal structure of SrCuAgS2. The functional is PBE.

The structure in POSCAR format:
```
SrCuAgS2
1.0
6.648 -2.050 0.000
6.648 2.050 0.000
-5.646 0.000 7.822
Sr Cu Ag S
2 2 2 4
direct
0.206 0.206 0.152 Sr
0.794 0.794 0.848 Sr
0.039 0.039 0.715 Cu
0.961 0.961 0.285 Cu
0.356 0.356 0.605 Ag
0.644 0.644 0.395 Ag
0.152 0.152 0.586 S
0.418 0.418 0.129 S
0.582 0.582 0.871 S
0.848 0.848 0.414 S
```

Calculated values
Energy relative to the elements, uncorrected: -0.83 eV per atom

---

(15)
This record from the Alexandria database describes an optimized crystal structure of CdFePt2. The functional is PBE.

The structure in POSCAR format:
```
CdFePt2
1.0
2.857 0.000 0.000
0.000 4.640 0.000
0.000 0.000 4.820
Cd Fe Pt
1 1 2
direct
0.000 0.000 0.000 Cd
0.000 0.500 0.627 Fe
0.500 0.000 0.506 Pt
0.500 0.500 0.142 Pt
```

Calculated values
E_form: -133 meV per atom

---

(16)
This record from the Alexandria database describes an optimized crystal structure of Pm5Pd2. The functional is PBE.

The structure in POSCAR format:
```
Pm5Pd2
1.0
8.598 -3.338 0.000
8.598 3.338 0.000
-0.843 0.000 7.168
Pm Pd
10 4
direct
0.072 0.928 0.750 Pm
0.150 0.290 0.311 Pm
0.290 0.150 0.811 Pm
0.297 0.514 0.069 Pm
0.486 0.703 0.431 Pm
0.514 0.297 0.569 Pm
0.703 0.486 0.931 Pm
0.710 0.850 0.189 Pm
0.850 0.710 0.689 Pm
0.928 0.072 0.250 Pm
0.083 0.695 0.428 Pd
0.305 0.917 0.072 Pd
0.695 0.083 0.928 Pd
0.917 0.305 0.572 Pd
```

Calculated values
E_form: -465 meV per atom

---

(17)
This record from the Alexandria database describes an optimized crystal structure of MnVReNi. The functional is PBE.

The structure in POSCAR format:
```
MnVReNi
1.0
0.000 2.957 2.957
2.957 0.000 2.957
2.957 2.957 0.000
Mn V Re Ni
1 1 1 1
direct
0.000 0.000 0.000 Mn
0.500 0.500 0.500 V
0.750 0.750 0.750 Re
0.250 0.250 0.250 Ni
```

Calculated values
E_form: -24 meV per atom

---

(18)
This record from the Alexandria database describes an optimized crystal structure of PmSbH2. The functional is PBE.

The structure in POSCAR format:
```
PmSbH2
1.0
1.861 1.074 5.608
-1.861 1.074 5.608
0.000 -2.149 5.608
Pm Sb H
1 1 2
direct
0.000 0.000 0.000 Pm
0.500 0.500 0.500 Sb
0.301 0.301 0.301 H
0.699 0.699 0.699 H
```

---

(19)
This record from the Alexandria database describes an optimized crystal structure of InAsW2. The functional is PBE.

The structure in POSCAR format:
```
InAsW2
1.0
-1.984 1.984 4.553
1.984 -1.984 4.553
1.984 1.984 -4.553
In As W
1 1 2
direct
0.000 0.000 0.000 In
0.500 0.500 0.000 As
0.250 0.750 0.500 W
0.750 0.250 0.500 W
```

Calculated values
Energy relative to the lowest polymorph listed for this composition: 666 meV per atom
E_form: 891 meV per atom

---

(20)
This record from the Alexandria database describes an optimized crystal structure of PmY5Sn6. The functional is PBE.

The structure in POSCAR format:
```
PmY5Sn6
1.0
2.889 -7.078 0.000
2.889 7.078 0.000
-1.833 0.000 8.300
Pm Y Sn
1 5 6
direct
0.000 0.000 0.000 Pm
0.000 0.000 0.500 Y
0.331 0.669 0.000 Y
0.336 0.664 0.500 Y
0.664 0.336 0.500 Y
0.669 0.331 0.000 Y
0.165 0.828 0.254 Sn
0.172 0.835 0.746 Sn
0.486 0.486 0.753 Sn
0.514 0.514 0.247 Sn
0.828 0.165 0.254 Sn
0.835 0.172 0.746 Sn
```

Calculated values
E_form: -655 meV per atom

---

Number 1: uncorrected energy -4.160 eV/atom. Number 2: uncorrected energy -4.793 eV/atom. Number 3: uncorrected energy -5.609 eV/atom. Number 4: uncorrected energy -6.616 eV/atom. Number 5: uncorrected energy -5.047 eV/atom. Number 6: uncorrected energy -7.925 eV/atom. Number 7: uncorrected energy -5.163 eV/atom. Number 8: uncorrected energy -5.475 eV/atom. Number 9: uncorrected energy -4.783 eV/atom. Number 10: uncorrected energy -5.760 eV/atom. Number 11: uncorrected energy -7.919 eV/atom. Number 12: uncorrected energy -3.469 eV/atom. Number 13: uncorrected energy -2.421 eV/atom. Number 14: uncorrected energy -4.206 eV/atom. Number 15: uncorrected energy -5.498 eV/atom. Number 16: uncorrected energy -5.342 eV/atom. Number 17: uncorrected energy -9.153 eV/atom. Number 18: uncorrected energy -4.301 eV/atom. Number 19: uncorrected energy -7.433 eV/atom. Number 20: uncorrected energy -5.746 eV/atom.